#a
Density functional theory data (GGA-PBE) for a geometry-optimized Ba3Na2Tl4 structure.

Cell: 12.678 5.568 10.522 Å, 90.00 115.97 90.00°
Space group C2/m (No. 12)
Asymmetric unit:
Ba: 0.000 0.000 0.000
Ba: 0.151 0.500 0.689
Na: 0.161 0.500 0.331
Tl: 0.048 0.000 0.382
Tl: 0.245 0.500 0.081

Computed properties:
**Magnetization**: 0.00 μB/atom

***

#b
Density functional theory data (GGA-PBE) for a geometry-optimized Ba3Na2Tl4 structure.

Cell: 10.282 6.004 10.738 Å, 90.00 94.22 90.00°
Space group C2/m (No. 12)
Asymmetric unit:
Ba: 0.000 0.000 0.000
Ba: 0.149 0.500 0.761
Na: 0.196 0.500 0.411
Tl: 0.025 0.000 0.362
Tl: 0.173 0.500 0.101

Computed properties:
**Magnetization**: 0.00 μB/atom

***

What is the stability order? It is #b, #a, from most stable to least stable.

***

#a
Density functional theory data (GGA-PBE) for a geometry-optimized Ba2NaTl2 structure.

Cell: 6.865 6.865 9.512 Å, 90.00 90.00 90.00°
Space group I4/mmm (No. 139)
Asymmetric unit:
Ba: 0.000 0.500 0.250
Na: 0.000 0.000 0.000
Tl: 0.000 0.000 0.349

Computed properties:
**Magnetization**: 0.00 μB/atom

***

#b
Density functional theory data (GGA-PBE) for a geometry-optimized Ba2NaTl2 structure.

Cell: 5.441 17.643 4.340 Å, 90.00 90.00 90.00°
Space group Cmmm (No. 65)
Asymmetric unit:
Ba: 0.000 0.138 0.000
Na: 0.000 0.500 0.500
Tl: 0.000 0.307 0.500

Computed properties:
**Magnetization**: 0.00 μB/atom

***

What is the stability order? It is #b, #a, from most stable to least stable.

***

#a
Density functional theory data (GGA-PBE) for a geometry-optimized Ba2NaTl2 structure.

Cell: 11.957 5.642 13.033 Å, 90.00 116.24 90.00°
Space group C2/m (No. 12)
Asymmetric unit:
Ba: 0.002 0.000 0.185
Ba: 0.187 0.000 0.602
Na: 0.214 0.500 0.876
Tl: 0.011 0.500 0.387
Tl: 0.136 0.500 0.089

Computed properties:
**Magnetization**: 0.00 μB/atom

***

#b
Density functional theory data (GGA-PBE) for a geometry-optimized Ba2NaTl2 structure.

Cell: 10.171 10.171 3.972 Å, 90.00 90.00 90.00°
Space group P4/mbm (No. 127)
Asymmetric unit:
Ba: 0.162 0.338 0.000
Na: 0.000 0.000 0.000
Tl: 0.133 0.633 0.500

Computed properties:
**Magnetization**: 0.00 μB/atom

***

What is the stability order? It is #a, #b, from most stable to least stable.

***

#a
Density functional theory data (GGA-PBE) for a geometry-optimized Ba2Na2Tl structure.

Cell: 8.440 8.440 5.845 Å, 90.00 90.00 90.00°
Space group P4/mbm (No. 127)
Asymmetric unit:
Ba: 0.191 0.309 0.000
Na: 0.132 0.632 0.500
Tl: 0.000 0.000 0.500

Computed properties:
**Magnetization**: 0.00 μB/atom

***

#b
Density functional theory data (GGA-PBE) for a geometry-optimized Ba2Na2Tl structure.

Cell: 9.631 9.631 5.362 Å, 90.00 90.00 90.00°
Space group P4/mbm (No. 127)
Asymmetric unit:
Ba: 0.164 0.336 0.000
Na: 0.137 0.637 0.500
Tl: 0.000 0.000 0.000

Computed properties:
**Magnetization**: 0.00 μB/atom

***

What is the stability order? It is #a, #b, from most stable to least stable.

***

#a
Density functional theory data (GGA-PBE) for a geometry-optimized Ba3Na2Tl structure.

Cell: 6.3326 6.3326 15.5233 Å, 90.00 90.00 120.00°
Space group P-3m1 (No. 164)
Asymmetric unit:
Ba: 0.0000 0.0000 0.2368
Ba: 0.3333 0.6667 0.3994
Ba: 0.3333 0.6667 0.9159
Na: 0.0000 0.0000 0.0000
Na: 0.0000 0.0000 0.5000
Na: 0.3333 0.6667 0.6654
Tl: 0.3333 0.6667 0.1647

Computed properties:
**Magnetization**: 0.00 μB/atom

***

#b
Density functional theory data (GGA-PBE) for a geometry-optimized Ba3Na2Tl structure.

Cell: 4.362 4.362 14.694 Å, 90.00 90.00 90.00°
Space group P4/mmm (No. 123)
Asymmetric unit:
Ba: 0.000 0.000 0.000
Ba: 0.000 0.000 0.362
Na: 0.500 0.500 0.179
Tl: 0.500 0.500 0.500

Computed properties:
**Magnetization**: 0.00 μB/atom

***

What is the stability order? It is #b, #a, from most stable to least stable.

***

#a
Density functional theory data (GGA-PBE) for a geometry-optimized Ba2Na2Tl3 structure.

Cell: 4.253 29.372 4.114 Å, 90.00 90.00 90.00°
Space group Cmmm (No. 65)
Asymmetric unit:
Ba: 0.000 0.074 0.000
Na: 0.000 0.205 0.000
Tl: 0.000 0.349 0.500
Tl: 0.000 0.500 0.500

Computed properties:
**Magnetization**: 0.00 μB/atom

***

#b
Density functional theory data (GGA-PBE) for a geometry-optimized Ba2Na2Tl3 structure.

Cell: 12.171 5.494 8.202 Å, 90.00 112.39 90.00°
Space group C2/m (No. 12)
Asymmetric unit:
Ba: 0.156 0.000 0.248
Na: 0.135 0.000 0.729
Tl: 0.000 0.500 0.500
Tl: 0.099 0.500 0.921

Computed properties:
**Magnetization**: 0.00 μB/atom

***

What is the stability order? It is #a, #b, from most stable to least stable.

***

#a
Density functional theory data (GGA-PBE) for a geometry-optimized BaNaV2 structure.

Cell: 4.958 4.958 22.403 Å, 90.00 90.00 90.00°
Space group I-42d (No. 122)
Asymmetric unit:
Ba: 0.000 0.000 0.000
Na: 0.000 0.000 0.500
V: 0.113 0.250 0.625

Computed properties:
**Magnetization**: 2.03 μB/atom

***

#b
Density functional theory data (GGA-PBE) for a geometry-optimized BaNaV2 structure.

Cell: 7.842 7.842 7.842 Å, 90.00 90.00 90.00°
Space group Fm-3m (No. 225)
Asymmetric unit:
Ba: 0.000 0.000 0.000
Na: 0.000 0.000 0.500
V: 0.250 0.250 0.250

Computed properties:
**Magnetization**: 2.07 μB/atom

***

What is the stability order? It is #b, #a, from most stable to least stable.

***

#a
Density functional theory data (GGA-PBE) for a geometry-optimized Ba2NaV2 structure.

Cell: 6.509 6.509 8.604 Å, 90.00 90.00 90.00°
Space group I4/mmm (No. 139)
Asymmetric unit:
Ba: 0.000 0.500 0.250
Na: 0.000 0.000 0.000
V: 0.000 0.000 0.395

Computed properties:
**Magnetization**: 0.00 μB/atom

***

#b
Density functional theory data (GGA-PBE) for a geometry-optimized Ba2NaV2 structure.

Cell: 9.585 9.585 4.086 Å, 90.00 90.00 90.00°
Space group P4/mbm (No. 127)
Asymmetric unit:
Ba: 0.201 0.299 0.000
Na: 0.000 0.000 0.500
V: 0.068 0.568 0.500

Computed properties:
**Magnetization**: 0.13 μB/atom

***

What is the stability order? It is #b, #a, from most stable to least stable.

***

#a
Density functional theory data (GGA-PBE) for a geometry-optimized BaNa2W structure.

Cell: 4.786 4.786 24.875 Å, 90.00 90.00 90.00°
Space group I-42d (No. 122)
Asymmetric unit:
Ba: 0.000 0.000 0.000
Na: 0.206 0.250 0.625
W: 0.000 0.000 0.500

Computed properties:
**Magnetization**: 1.00 μB/atom

***

#b
Density functional theory data (GGA-PBE) for a geometry-optimized BaNa2W structure.

Cell: 7.996 7.996 7.996 Å, 90.00 90.00 90.00°
Space group Fm-3m (No. 225)
Asymmetric unit:
Ba: 0.000 0.000 0.000
Na: 0.250 0.250 0.250
W: 0.000 0.000 0.500

Computed properties:
**Magnetization**: 0.95 μB/atom

***

What is the stability order? It is #b, #a, from most stable to least stable.

***

#a
Density functional theory data (GGA-PBE) for a geometry-optimized BaNa3W structure.

Cell: 5.951 5.951 5.951 Å, 90.00 90.00 90.00°
Space group Pm-3m (No. 221)
Asymmetric unit:
Ba: 0.000 0.000 0.000
Na: 0.000 0.500 0.500
W: 0.500 0.500 0.500

Computed properties:
**Magnetization**: 0.89 μB/atom

***

#b
Density functional theory data (GGA-PBE) for a geometry-optimized BaNa3W structure.

Cell: 6.362 6.362 6.362 Å, 90.00 90.00 90.00°
Space group Pm-3m (No. 221)
Asymmetric unit:
Ba: 0.000 0.000 0.000
Na: 0.000 0.000 0.500
W: 0.500 0.500 0.500

Computed properties:
**Magnetization**: 0.79 μB/atom

***

What is the stability order? It is #a, #b, from most stable to least stable.

***

#a
Density functional theory data (GGA-PBE) for a geometry-optimized Ba2NaZn2 structure.

Cell: 4.216 4.216 22.028 Å, 90.00 90.00 90.00°
Space group I4/mmm (No. 139)
Asymmetric unit:
Ba: 0.000 0.000 0.129
Na: 0.000 0.000 0.500
Zn: 0.000 0.500 0.250

Computed properties:
**Magnetization**: 0.00 μB/atom

***

#b
Density functional theory data (GGA-PBE) for a geometry-optimized Ba2NaZn2 structure.

Cell: 4.588 18.420 4.460 Å, 90.00 90.00 90.00°
Space group Cmmm (No. 65)
Asymmetric unit:
Ba: 0.000 0.136 0.000
Na: 0.000 0.500 0.500
Zn: 0.000 0.284 0.500

Computed properties:
**Magnetization**: 0.00 μB/atom

***

#c
Density functional theory data (GGA-PBE) for a geometry-optimized Ba2NaZn2 structure.

Cell: 6.460 6.460 9.216 Å, 90.00 90.00 90.00°
Space group I4/mmm (No. 139)
Asymmetric unit:
Ba: 0.000 0.500 0.250
Na: 0.000 0.000 0.000
Zn: 0.000 0.000 0.368

Computed properties:
**Magnetization**: 0.00 μB/atom

***

What is the stability order? It is #b, #c, #a, from most stable to least stable.

***

#a
Density functional theory data (GGA-PBE) for a geometry-optimized Ba2NaZn2 structure.

Cell: 9.689 9.689 3.965 Å, 90.00 90.00 90.00°
Space group P4/mbm (No. 127)
Asymmetric unit:
Ba: 0.146 0.354 0.000
Na: 0.000 0.000 0.000
Zn: 0.144 0.644 0.500

Computed properties:
**Magnetization**: 0.00 μB/atom

***

#b
Density functional theory data (GGA-PBE) for a geometry-optimized Ba2NaZn2 structure.

Cell: 9.035 9.035 4.520 Å, 90.00 90.00 90.00°
Space group P4/mbm (No. 127)
Asymmetric unit:
Ba: 0.177 0.323 0.000
Na: 0.000 0.000 0.500
Zn: 0.111 0.611 0.500

Computed properties:
**Magnetization**: 0.00 μB/atom

***

What is the stability order? It is #b, #a, from most stable to least stable.